{
  "formula": "Sr3DyMn2O8",
  "functional": "PBE+U",
  "state": "optimized geometry",
  "lattice": [[-5.356, 2.261, -3.365], [0.546, -4.094, 5.298], [-0.295, 4.347, 3.390]],
  "species": ["O", "O", "O", "O", "O", "O", "O", "O", "Mn", "Mn", "Sr", "Sr", "Sr", "Dy"],
  "frac_coords": [[0.843, 0.157, 0.000], [0.763, 0.750, 0.261], [0.250, 0.237, 0.739], [0.659, 0.341, 0.500], [0.250, 0.237, 0.261], [0.763, 0.750, 0.739], [0.161, 0.839, 0.000], [0.321, 0.679, 0.500], [0.000, 0.000, 0.000], [0.500, 0.500, 0.500], [0.854, 0.146, 0.500], [0.357, 0.643, 0.000], [0.645, 0.355, 0.000], [0.133, 0.867, 0.500]],
  "magmom_total_mub_per_cell": 7.0,
  "total_energy_ev_per_atom": -7.060
}